[1]
{"formula": "LiMgTe2I", "functional": "PBE-GGA", "state": "relaxed", "total_magnetization_mub_per_cell": 0.0, "raw_formation_energy_kj_per_mol_fu": -119, "de_polymorph_kj_per_mol_fu": 0, "lattice": [[-0.685, 5.269, -1.365], [-2.501, -1.527, -4.638], [-5.296, 0.048, 2.841]], "species": ["I", "Mg", "Te", "Te", "Li"], "fractional_positions": [[0.000, 0.000, 0.500], [0.000, 0.000, 0.000], [0.000, 0.500, 0.000], [0.500, 0.000, 0.000], [0.500, 0.500, 0.500]]}


[2]
{"formula": "LiMgTeI2", "functional": "PBE-GGA", "state": "relaxed", "total_magnetization_mub_per_cell": 0.0, "raw_formation_energy_kj_per_mol_fu": -227, "de_polymorph_kj_per_mol_fu": 0, "lattice": [[5.822, 0.000, 0.000], [0.000, 5.822, 0.000], [0.000, 0.000, 5.549]], "species": ["I", "I", "Mg", "Te", "Li"], "fractional_positions": [[0.000, 0.500, 0.000], [0.500, 0.000, 0.000], [0.000, 0.000, 0.000], [0.000, 0.000, 0.500], [0.500, 0.500, 0.500]]}


[3]
{"formula": "LiMgTe2I", "functional": "PBE-GGA", "state": "relaxed", "total_magnetization_mub_per_cell": 0.0, "raw_formation_energy_kj_per_mol_fu": -25, "de_polymorph_kj_per_mol_fu": 94, "lattice": [[4.877, 0.000, 0.000], [0.000, 4.877, 0.000], [0.000, 0.000, 6.631]], "species": ["I", "Mg", "Te", "Te", "Li"], "fractional_positions": [[0.000, 0.000, 0.500], [0.500, 0.500, 0.500], [0.000, 0.500, 0.000], [0.500, 0.000, 0.000], [0.000, 0.000, 0.000]]}


[4]
{"formula": "Li2MgTeI", "functional": "PBE-GGA", "state": "relaxed", "total_magnetization_mub_per_cell": 0.0, "raw_formation_energy_kj_per_mol_fu": -38, "lattice": [[5.140, 0.000, 0.000], [0.000, 6.358, 0.000], [0.000, 0.000, 5.140]], "species": ["I", "Mg", "Te", "Li", "Li"], "fractional_positions": [[0.000, 0.000, 0.000], [0.500, 0.500, 0.500], [0.000, 0.500, 0.000], [0.000, 0.000, 0.500], [0.500, 0.000, 0.000]]}


[5]
{"formula": "Li3MgTl3I8", "functional": "PBE-GGA", "state": "relaxed", "total_magnetization_mub_per_cell": 0.0, "raw_formation_energy_kj_per_mol_fu": -1341, "lattice": [[-1.190, 8.749, -0.226], [-3.719, -4.798, 6.428], [9.509, 1.303, 0.394]], "species": ["Li", "Li", "Li", "Mg", "Tl", "Tl", "Tl", "I", "I", "I", "I", "I", "I", "I", "I"], "fractional_positions": [[0.500, 0.000, 0.500], [0.500, 0.500, 0.500], [0.000, 0.500, 0.500], [0.000, 0.000, 0.500], [0.000, 0.000, 0.000], [0.000, 0.500, 0.000], [0.500, 0.500, 0.000], [0.265, 0.531, 0.297], [0.735, 0.469, 0.703], [0.771, 0.541, 0.300], [0.229, 0.459, 0.700], [0.770, 0.029, 0.300], [0.230, 0.971, 0.700], [0.259, 0.029, 0.300], [0.741, 0.971, 0.700]]}


[6]
{"formula": "LiMgW2I", "functional": "PBE-GGA", "state": "relaxed", "total_magnetization_mub_per_cell": 0.5, "raw_formation_energy_kj_per_mol_fu": 1054, "de_polymorph_kj_per_mol_fu": 203, "lattice": [[4.943, 0.000, 0.000], [0.000, 5.354, 0.000], [0.000, 0.000, 4.943]], "species": ["I", "Mg", "W", "W", "Li"], "fractional_positions": [[0.000, 0.000, 0.000], [0.000, 0.500, 0.000], [0.000, 0.000, 0.500], [0.500, 0.000, 0.000], [0.500, 0.500, 0.500]]}


[7]
{"formula": "LiMgW2I", "functional": "PBE-GGA", "state": "relaxed", "total_magnetization_mub_per_cell": 0.0, "raw_formation_energy_kj_per_mol_fu": 852, "de_polymorph_kj_per_mol_fu": 0, "lattice": [[4.437, 0.000, 0.000], [0.000, 4.805, 0.000], [0.000, 0.000, 4.437]], "species": ["I", "Mg", "W", "W", "Li"], "fractional_positions": [[0.000, 0.500, 0.000], [0.500, 0.500, 0.500], [0.000, 0.000, 0.500], [0.500, 0.000, 0.000], [0.000, 0.000, 0.000]]}


[8]
{"formula": "LiMn2I6", "functional": "PBE-GGA", "state": "relaxed", "total_magnetization_mub_per_cell": 27.0, "raw_formation_energy_kj_per_mol_fu": -484, "de_polymorph_kj_per_mol_fu": 0, "lattice": [[7.550, 0.000, 0.000], [0.000, 10.670, -6.160], [0.000, 0.000, 12.320]], "species": ["Li", "Li", "Li", "Mn", "Mn", "Mn", "Mn", "Mn", "Mn", "I", "I", "I", "I", "I", "I", "I", "I", "I", "I", "I", "I", "I", "I", "I", "I", "I", "I"], "fractional_positions": [[0.998, 0.667, 0.333], [0.002, 0.333, 0.667], [0.000, 0.000, 0.000], [0.000, 0.000, 0.334], [0.000, 0.666, 0.666], [0.000, 0.334, 0.000], [0.000, 0.000, 0.666], [0.000, 0.334, 0.334], [0.000, 0.666, 0.000], [0.217, 0.898, 0.449], [0.217, 0.551, 0.102], [0.217, 0.551, 0.449], [0.783, 0.449, 0.551], [0.783, 0.449, 0.898], [0.783, 0.102, 0.551], [0.782, 0.435, 0.218], [0.782, 0.782, 0.565], [0.782, 0.782, 0.218], [0.783, 0.769, 0.884], [0.783, 0.116, 0.231], [0.783, 0.116, 0.884], [0.217, 0.884, 0.116], [0.217, 0.884, 0.769], [0.217, 0.231, 0.116], [0.218, 0.565, 0.782], [0.218, 0.218, 0.435], [0.218, 0.218, 0.782]]}


[9]
{"formula": "LiMn2I", "functional": "PBE-GGA", "state": "relaxed", "total_magnetization_mub_per_cell": 16.5, "raw_formation_energy_kj_per_mol_fu": 168, "de_polymorph_kj_per_mol_fu": 0, "lattice": [[3.865, 0.000, 0.000], [0.000, 3.865, 0.000], [1.933, 1.933, 11.592]], "species": ["I", "I", "Mn", "Mn", "Mn", "Mn", "Li", "Li"], "fractional_positions": [[0.000, 0.000, 0.000], [0.750, 0.250, 0.500], [0.627, 0.125, 0.250], [0.123, 0.625, 0.250], [0.375, 0.373, 0.750], [0.875, 0.877, 0.750], [0.500, 0.500, 0.000], [0.250, 0.750, 0.500]]}


[10]
{"formula": "LiMn2I5", "functional": "PBE-GGA", "state": "relaxed", "total_magnetization_mub_per_cell": 10.0, "raw_formation_energy_kj_per_mol_fu": -395, "lattice": [[6.472, -0.226, 3.002], [-1.648, 6.529, 4.044], [0.051, -0.207, 7.984]], "species": ["Li", "Mn", "Mn", "I", "I", "I", "I", "I"], "fractional_positions": [[0.971, 0.950, 0.101], [0.539, 0.981, 0.038], [0.948, 0.383, 0.234], [0.640, 0.610, 0.285], [0.640, 0.105, 0.285], [0.281, 0.756, 0.984], [0.281, 0.260, 0.984], [0.922, 0.177, 0.646]]}


[11]
{"formula": "LiMnI4", "functional": "PBE-GGA", "state": "relaxed", "total_magnetization_mub_per_cell": 8.0, "raw_formation_energy_kj_per_mol_fu": -346, "de_polymorph_kj_per_mol_fu": 3, "lattice": [[7.435, -1.019, 0.000], [-2.346, 7.230, 0.000], [-2.545, -3.106, 8.872]], "species": ["Li", "Li", "Mn", "Mn", "I", "I", "I", "I", "I", "I", "I", "I"], "fractional_positions": [[0.814, 0.064, 0.128], [0.186, 0.936, 0.872], [0.311, 0.561, 0.123], [0.689, 0.439, 0.877], [0.363, 0.091, 0.668], [0.040, 0.780, 0.098], [0.195, 0.423, 0.332], [0.442, 0.682, 0.902], [0.637, 0.909, 0.332], [0.805, 0.577, 0.668], [0.960, 0.220, 0.902], [0.558, 0.318, 0.098]]}


[12]
{"formula": "LiMnI3", "functional": "PBE-GGA", "state": "relaxed", "total_magnetization_mub_per_cell": 10.0, "raw_formation_energy_kj_per_mol_fu": -315, "lattice": [[-4.821, 2.233, 3.970], [-2.083, -2.596, -6.608], [-0.827, -7.450, 3.187]], "species": ["Li", "Li", "Mn", "Mn", "I", "I", "I", "I", "I", "I"], "fractional_positions": [[0.832, 0.000, 0.500], [0.832, 0.000, 0.000], [0.482, 0.421, 0.750], [0.061, 0.579, 0.250], [0.753, 0.338, 0.496], [0.753, 0.338, 0.004], [0.131, 0.044, 0.750], [0.415, 0.662, 0.996], [0.415, 0.662, 0.504], [0.087, 0.956, 0.250]]}


[13]
{"formula": "LiMnI3", "functional": "PBE-GGA", "state": "relaxed", "total_magnetization_mub_per_cell": 10.0, "raw_formation_energy_kj_per_mol_fu": -348, "lattice": [[-1.870, 0.932, -3.747], [-5.660, -2.591, 4.637], [-1.301, 11.851, 3.596]], "species": ["Li", "Li", "Mn", "Mn", "I", "I", "I", "I", "I", "I"], "fractional_positions": [[0.655, 0.309, 0.904], [0.345, 0.691, 0.096], [0.925, 0.849, 0.726], [0.075, 0.151, 0.274], [0.368, 0.735, 0.606], [0.632, 0.265, 0.394], [0.848, 0.696, 0.918], [0.152, 0.304, 0.082], [0.105, 0.209, 0.758], [0.895, 0.791, 0.242]]}


[14]
{"formula": "LiMn3I8", "functional": "PBE-GGA", "state": "relaxed", "total_magnetization_mub_per_cell": 14.0, "raw_formation_energy_kj_per_mol_fu": -608, "lattice": [[8.218, 0.000, 0.000], [-4.109, 5.858, -4.065], [0.000, 0.374, 8.915]], "species": ["Li", "Mn", "Mn", "Mn", "I", "I", "I", "I", "I", "I", "I", "I"], "fractional_positions": [[0.000, 0.000, 0.000], [0.500, 0.000, 0.000], [0.500, 0.500, 0.000], [0.000, 0.500, 0.000], [0.257, 0.514, 0.772], [0.743, 0.486, 0.228], [0.271, 0.027, 0.786], [0.757, 0.027, 0.786], [0.757, 0.514, 0.786], [0.243, 0.486, 0.214], [0.243, 0.973, 0.214], [0.729, 0.973, 0.214]]}


[15]
{"formula": "LiMnI4", "functional": "PBE-GGA", "state": "relaxed", "total_magnetization_mub_per_cell": 4.0, "raw_formation_energy_kj_per_mol_fu": -349, "de_polymorph_kj_per_mol_fu": 0, "lattice": [[4.132, 0.000, 0.000], [0.000, 7.197, -2.134], [0.000, 0.296, 7.074]], "species": ["Li", "Mn", "I", "I", "I", "I"], "fractional_positions": [[0.000, 0.500, 0.500], [0.500, 0.500, 0.000], [0.000, 0.275, 0.780], [0.000, 0.725, 0.220], [0.500, 0.282, 0.250], [0.500, 0.718, 0.750]]}


[16]
{"formula": "LiMn2I8", "functional": "PBE-GGA", "state": "relaxed", "total_magnetization_mub_per_cell": 7.0, "raw_formation_energy_kj_per_mol_fu": -398, "lattice": [[7.111, 0.607, 0.461], [0.815, 8.566, 0.007], [0.815, 2.313, 8.248]], "species": ["Li", "Mn", "Mn", "I", "I", "I", "I", "I", "I", "I", "I"], "fractional_positions": [[0.000, 0.000, 0.000], [0.693, 0.808, 0.808], [0.307, 0.192, 0.192], [0.189, 0.295, 0.913], [0.811, 0.087, 0.705], [0.339, 0.806, 0.806], [0.661, 0.194, 0.194], [0.189, 0.913, 0.295], [0.811, 0.705, 0.087], [0.857, 0.623, 0.623], [0.143, 0.377, 0.377]]}


[17]
{"formula": "LiMn2I", "functional": "PBE-GGA", "state": "relaxed", "total_magnetization_mub_per_cell": 1.7, "raw_formation_energy_kj_per_mol_fu": 316, "de_polymorph_kj_per_mol_fu": 147, "lattice": [[-0.922, -3.130, -2.655], [-3.895, -0.369, -1.545], [-0.741, 0.832, -4.056]], "species": ["I", "Mn", "Mn", "Li"], "fractional_positions": [[0.500, 0.500, 0.500], [0.250, 0.250, 0.250], [0.750, 0.750, 0.750], [0.000, 0.000, 0.000]]}


[18]
{"formula": "Li2Mn3I8", "functional": "PBE-GGA", "state": "relaxed", "total_magnetization_mub_per_cell": 30.0, "raw_formation_energy_kj_per_mol_fu": -791, "lattice": [[8.582, 0.000, 0.000], [-4.291, 8.536, 0.000], [0.000, 0.000, 12.140]], "species": ["Li", "Li", "Li", "Li", "Mn", "Mn", "Mn", "Mn", "Mn", "Mn", "I", "I", "I", "I", "I", "I", "I", "I", "I", "I", "I", "I", "I", "I", "I", "I"], "fractional_positions": [[0.629, 0.259, 0.113], [0.871, 0.741, 0.613], [0.129, 0.259, 0.387], [0.371, 0.741, 0.887], [0.619, 0.739, 0.250], [0.500, 0.000, 0.500], [0.881, 0.261, 0.750], [0.119, 0.739, 0.250], [0.000, 0.000, 0.000], [0.381, 0.261, 0.750], [0.645, 0.758, 0.014], [0.613, 0.758, 0.486], [0.004, 0.009, 0.757], [0.743, 0.485, 0.761], [0.496, 0.991, 0.257], [0.757, 0.515, 0.261], [0.145, 0.758, 0.486], [0.887, 0.242, 0.986], [0.113, 0.758, 0.014], [0.855, 0.242, 0.514], [0.996, 0.991, 0.243], [0.504, 0.009, 0.743], [0.257, 0.515, 0.239], [0.243, 0.485, 0.739], [0.387, 0.242, 0.514], [0.355, 0.242, 0.986]]}


[19]
{"formula": "LiMnI3", "functional": "PBE-GGA", "state": "relaxed", "total_magnetization_mub_per_cell": 5.1, "raw_formation_energy_kj_per_mol_fu": 13, "lattice": [[-3.463, 1.033, 4.110], [0.913, -5.001, 2.026], [4.138, 1.968, 2.992]], "species": ["I", "I", "I", "Mn", "Li"], "fractional_positions": [[0.000, 0.500, 0.000], [0.000, 0.000, 0.500], [0.500, 0.000, 0.000], [0.500, 0.500, 0.500], [0.000, 0.000, 0.000]]}


[20]
{"formula": "Li2MnI8", "functional": "PBE-GGA", "state": "relaxed", "total_magnetization_mub_per_cell": 3.0, "raw_formation_energy_kj_per_mol_fu": -491, "lattice": [[-5.272, 1.543, -3.365], [3.972, -1.096, -7.649], [-3.230, -8.053, 0.444]], "species": ["Li", "Li", "Mn", "I", "I", "I", "I", "I", "I", "I", "I"], "fractional_positions": [[0.986, 0.293, 0.293], [0.014, 0.707, 0.707], [0.000, 0.000, 0.000], [0.853, 0.015, 0.716], [0.147, 0.284, 0.985], [0.651, 0.139, 0.139], [0.349, 0.861, 0.861], [0.853, 0.716, 0.015], [0.147, 0.985, 0.284], [0.253, 0.495, 0.495], [0.747, 0.505, 0.505]]}


[21]
{"formula": "Li2MnI6", "functional": "PBE-GGA", "state": "relaxed", "total_magnetization_mub_per_cell": 3.5, "raw_formation_energy_kj_per_mol_fu": -527, "lattice": [[-2.922, 2.469, 0.914], [-6.702, -6.986, -2.557], [3.334, -2.086, 7.836]], "species": ["Li", "Li", "Mn", "I", "I", "I", "I", "I", "I"], "fractional_positions": [[0.826, 0.639, 0.651], [0.174, 0.361, 0.349], [0.500, 0.000, 0.000], [0.336, 0.868, 0.673], [0.980, 0.183, 0.960], [0.651, 0.555, 0.302], [0.020, 0.817, 0.040], [0.664, 0.132, 0.327], [0.349, 0.445, 0.698]]}


[22]
{"formula": "LiMnI6", "functional": "PBE-GGA", "state": "relaxed", "total_magnetization_mub_per_cell": 4.8, "raw_formation_energy_kj_per_mol_fu": -277, "lattice": [[-2.029, -7.716, 0.398], [1.525, -4.737, -3.897], [4.813, -6.294, 4.336]], "species": ["Li", "Mn", "I", "I", "I", "I", "I", "I"], "fractional_positions": [[0.000, 0.000, 0.500], [0.000, 0.000, 0.000], [0.529, 0.000, 0.230], [0.827, 0.350, 0.757], [0.471, 0.000, 0.770], [0.823, 0.350, 0.243], [0.173, 0.650, 0.243], [0.177, 0.650, 0.757]]}


[23]
{"formula": "LiMn2I6", "functional": "PBE-GGA", "state": "relaxed", "total_magnetization_mub_per_cell": 9.0, "raw_formation_energy_kj_per_mol_fu": -412, "de_polymorph_kj_per_mol_fu": 73, "lattice": [[4.596, 0.000, 0.000], [-2.298, 7.226, 0.260], [0.000, -2.098, 10.611]], "species": ["Li", "Mn", "Mn", "I", "I", "I", "I", "I", "I"], "fractional_positions": [[0.000, 0.000, 0.500], [0.734, 0.468, 0.827], [0.266, 0.532, 0.173], [0.887, 0.773, 0.731], [0.846, 0.693, 0.080], [0.154, 0.307, 0.920], [0.612, 0.224, 0.610], [0.388, 0.776, 0.390], [0.113, 0.227, 0.269]]}